## NpAlVO6 (PBE+U)

Data for NpAlVO6 after structural relaxation.

Cell and atoms, written as extended XYZ:
```
18
Lattice="5.145 0.000 0.000 -2.573 4.456 0.000 0.000 0.000 8.887" Properties=species:S:1:pos:R:3 pbc="T T T"
Np 0.000 2.971 2.222
Np 2.573 1.485 6.665
Al 0.000 2.971 6.665
Al 2.573 1.485 2.222
V 0.000 0.000 0.000
V 0.000 0.000 4.444
O -0.781 1.546 5.610
O -1.625 3.006 7.721
O 0.781 1.546 7.721
O -0.843 4.360 5.610
O 1.729 0.096 1.166
O 0.948 1.450 3.277
O 1.625 3.006 5.610
O 0.843 4.360 7.721
O 3.416 0.096 3.277
O 1.791 2.910 1.166
O 4.197 1.450 1.166
O 3.354 2.910 3.277
```

Properties
**N(E_F)**: 0.01 states/eV per atom
**Magnetization**: 6.000 μB per cell
**VASP energy**: -8.510 eV per atom